The following is a DFT calculation (GGA-PBE) of an optimized crystal structure of MnTe3.

Computed properties:
The total energy comes out at -4.126 eV/atom. The density of states at the Fermi level is 0.586 states/eV per atom. As for the symmetry: Pm-3m, No. 221. Its mass density is 6.77 g/cm³.

Geometry as extended XYZ:
```
4
Lattice="4.752 0.000 0.000 0.000 4.752 0.000 0.000 0.000 4.752" Properties=species:S:1:pos:R:3 pbc="T T T"
Mn 0.000 0.000 0.000
Te 0.000 2.376 2.376
Te 2.376 0.000 2.376
Te 2.376 2.376 0.000
```

***

The following is a DFT calculation (GGA-PBE) of an optimized crystal structure of Pr4Ni13C4.

Computed properties:
The total energy comes out at -6.500 eV/atom. The density of states at the Fermi level is 0.517 states/eV per atom. As for the symmetry: Cmmm, No. 65. Its mass density is 7.97 g/cm³. Its energy of formation from the pure elements is -254 meV per atom.

Geometry as extended XYZ:
```
21
Lattice="5.971 -6.061 0.000 5.971 6.061 0.000 0.000 0.000 3.957" Properties=species:S:1:pos:R:3 pbc="T T T"
Pr 5.971 3.742 0.000
Pr 4.127 0.000 0.000
Pr 7.815 0.000 0.000
Pr 5.971 -3.742 0.000
Ni 0.000 0.000 1.978
Ni 2.986 3.031 0.000
Ni 2.156 1.331 1.978
Ni 1.435 0.000 0.000
Ni 4.667 2.122 1.978
Ni 2.156 -1.331 1.978
Ni 7.276 2.122 1.978
Ni 2.986 -3.031 0.000
Ni 4.667 -2.122 1.978
Ni 9.786 1.331 1.978
Ni 7.276 -2.122 1.978
Ni 10.507 0.000 0.000
Ni 9.786 -1.331 1.978
C 2.986 3.031 1.978
C 5.971 0.683 1.978
C 2.986 -3.031 1.978
C 5.971 -0.683 1.978
```

***

The following is a DFT calculation (GGA-PBE) of an optimized crystal structure of Li8MgPd5.

Computed properties:
The total energy comes out at -3.315 eV/atom. The density of states at the Fermi level is 0.334 states/eV per atom. As for the symmetry: I-4, No. 82. Its mass density is 4.85 g/cm³. Its energy of formation from the pure elements is -253 meV per atom.

Geometry as extended XYZ:
```
14
Lattice="-3.612 3.612 4.013 3.612 -3.612 4.013 3.612 3.612 -4.013" Properties=species:S:1:pos:R:3 pbc="T T T"
Li 2.938 1.053 0.144
Li 0.536 1.239 1.169
Li 2.559 -0.674 3.869
Li 1.053 4.286 -0.144
Li -2.373 3.076 2.844
Li 0.674 2.559 4.157
Li 2.373 4.148 2.844
Li -0.536 5.985 1.169
Mg 0.000 0.000 4.013
Pd 2.030 -1.052 1.424
Pd 4.664 -1.582 2.588
Pd 5.194 1.052 1.424
Pd 2.560 1.582 2.588
Pd 0.000 3.612 2.006
```

***

> Which formula does entry 3 have?

Li8MgPd5